BeNb2AgAu: optimized geometry, PBE-GGA.

Lattice parameters (Å, degrees): 4.9892 4.9892 4.0721 90.00 90.00 90.00
With the nearest neighbours (Å) after each atom.
Element x y z (fractional)
Be  0.0000  0.0000  0.0000  2 Ag 2.04
Nb  0.0000  0.5000  0.5000  2 Ag 2.49
Nb  0.5000  0.0000  0.5000  2 Ag 2.49
Ag  0.0000  0.0000  0.5000  2 Be 2.04
Au  0.5000  0.5000  0.0000  8 Nb 3.22, 4 Be 3.53

Summary:
E_form: 1.34 eV per atom
density of states at the Fermi level: 5.233 states/eV/f.u.
energy: -4.6562 eV per atom
SG: P4/mmm, No. 123
size of the total moment: 0.00 μB/atom

***

BeAgPb2Au: optimized geometry, PBE-GGA.

Lattice parameters (Å, degrees): 5.4251 5.4251 5.1778 90.00 90.00 90.00
With the nearest neighbours (Å) after each atom.
Element x y z (fractional)
Be  0.0000  0.0000  0.0000  8 Pb 3.75, 4 Au 3.84
Ag  0.5000  0.5000  0.5000  2 Au 2.59, 4 Pb 2.71
Pb  0.0000  0.5000  0.5000  2 Ag 2.71
Pb  0.5000  0.0000  0.5000  2 Ag 2.71
Au  0.5000  0.5000  0.0000  2 Ag 2.59

Summary:
E_form: 0.93 eV per atom
density of states at the Fermi level: 1.671 states/eV/f.u.
energy: -2.5235 eV per atom
SG: P4/mmm, No. 123
size of the total moment: 0.00 μB/atom